(1)
DFT (PBE) results for a geometry-optimized CSe2 structure.

abc: 3.788 3.788 8.208
angles: 90.00 90.00 120.00
Atoms (fractional coordinates):
C1 0.333 0.667 0.250
C2 0.667 0.333 0.750
Se1 0.000 0.000 0.000
Se2 0.000 0.000 0.500
Se3 0.333 0.667 0.750
Se4 0.667 0.333 0.250

Calculated values
Density of states at the Fermi level: 3.96 states/eV/cell
Calculated density: 5.53 g cm⁻³
Formation energy without anion corrections: 1.8527 eV/atom

---

(2)
DFT (PBE) results for a geometry-optimized MgZr2Pb structure.

abc: 3.226 5.215 5.462
angles: 90.00 90.36 90.00
Atoms (fractional coordinates):
Mg1 0.000 0.000 0.000
Zr1 0.489 0.500 0.827
Zr2 0.504 0.000 0.516
Pb1 0.993 0.500 0.325

Calculated values
Density of states at the Fermi level: 2.95 states/eV/cell
Calculated density: 7.48 g cm⁻³
Formation enthalpy at 0 K: -0.0326 eV/atom

---

(3)
DFT (PBE) results for a geometry-optimized K2SiAgTe4 structure.

abc: 14.070 12.468 8.154
angles: 83.23 61.64 35.13
Atoms (fractional coordinates):
K1 0.057 0.057 0.693
K2 0.307 0.307 0.943
K3 0.693 0.693 0.057
K4 0.943 0.943 0.307
Si1 0.375 0.375 0.375
Si2 0.625 0.625 0.625
Ag1 0.125 0.125 0.125
Ag2 0.875 0.875 0.875
Te1 0.004 0.358 0.452
Te2 0.315 0.548 0.642
Te3 0.358 0.004 0.685
Te4 0.452 0.685 0.004
Te5 0.548 0.315 0.996
Te6 0.642 0.996 0.315
Te7 0.685 0.452 0.358
Te8 0.996 0.642 0.548

Calculated values
Density of states at the Fermi level: 4.59 states/eV/cell
Calculated density: 3.93 g cm⁻³
Formation energy without anion corrections: -0.4384 eV/atom

---

(4)
DFT (PBE) results for a geometry-optimized NdGeRu2N structure.

abc: 5.990 5.990 7.331
angles: 90.00 90.00 141.92
Atoms (fractional coordinates):
Nd1 0.048 0.952 0.750
Nd2 0.952 0.048 0.250
Ge1 0.230 0.770 0.250
Ge2 0.770 0.230 0.750
Ru1 0.338 0.662 0.554
Ru2 0.338 0.662 0.946
Ru3 0.662 0.338 0.054
Ru4 0.662 0.338 0.446
N1 0.500 0.500 0.000
N2 0.500 0.500 0.500

Calculated values
Density of states at the Fermi level: 5.91 states/eV/cell
Calculated density: 8.87 g cm⁻³
Formation energy without anion corrections: -0.6241 eV/atom

---

(5)
DFT (PBE) results for a geometry-optimized Cu5Se4 structure.

abc: 7.056 7.056 7.282
angles: 90.00 90.00 120.00
Atoms (fractional coordinates):
Cu1 0.000 0.237 0.250
Cu2 0.000 0.763 0.750
Cu3 0.237 0.000 0.250
Cu4 0.237 0.237 0.750
Cu5 0.333 0.667 0.000
Cu6 0.333 0.667 0.500
Cu7 0.667 0.333 0.000
Cu8 0.667 0.333 0.500
Cu9 0.763 0.000 0.750
Cu10 0.763 0.763 0.250
Se1 0.000 0.000 0.000
Se2 0.000 0.000 0.500
Se3 0.000 0.427 0.750
Se4 0.000 0.573 0.250
Se5 0.427 0.000 0.750
Se6 0.427 0.427 0.250
Se7 0.573 0.000 0.250
Se8 0.573 0.573 0.750

Calculated values
Density of states at the Fermi level: 16.68 states/eV/cell
Calculated density: 6.70 g cm⁻³
Formation energy without anion corrections: 0.1227 eV/atom

---

(6)
DFT (PBE) results for a geometry-optimized Ba2PmSb3Pd4 structure.

abc: 4.734 4.734 11.531
angles: 90.00 90.00 90.00
Atoms (fractional coordinates):
Ba1 0.000 0.500 0.227
Ba2 0.500 0.000 0.773
Pm1 0.000 0.000 0.500
Sb1 0.000 0.500 0.880
Sb2 0.500 0.000 0.120
Sb3 0.500 0.500 0.500
Pd1 0.000 0.000 0.000
Pd2 0.000 0.500 0.645
Pd3 0.500 0.000 0.355
Pd4 0.500 0.500 0.000

Calculated values
Density of states at the Fermi level: 6.48 states/eV/cell
Calculated density: 7.78 g cm⁻³
Formation energy without anion corrections: -0.8438 eV/atom

---

(7)
DFT (PBE) results for a geometry-optimized CeTaReSi2 structure.

abc: 4.024 4.024 11.274
angles: 90.00 90.00 90.00
Atoms (fractional coordinates):
Ce1 0.000 0.000 0.000
Ce2 0.500 0.500 0.500
Ta1 0.000 0.500 0.750
Ta2 0.500 0.000 0.250
Re1 0.000 0.500 0.250
Re2 0.500 0.000 0.750
Si1 0.000 0.000 0.392
Si2 0.000 0.000 0.608
Si3 0.500 0.500 0.108
Si4 0.500 0.500 0.892

Calculated values
Density of states at the Fermi level: 12.33 states/eV/cell
Calculated density: 10.25 g cm⁻³
Formation energy without anion corrections: -0.5438 eV/atom

---

(8)
DFT (PBE) results for a geometry-optimized TlAgSn2 structure.

abc: 3.288 3.288 33.868
angles: 90.00 90.00 120.00
Atoms (fractional coordinates):
Tl1 0.000 0.000 0.000
Tl2 0.333 0.667 0.667
Tl3 0.667 0.333 0.333
Ag1 0.000 0.000 0.500
Ag2 0.333 0.667 0.167
Ag3 0.667 0.333 0.833
Sn1 0.000 0.000 0.097
Sn2 0.000 0.000 0.903
Sn3 0.333 0.667 0.570
Sn4 0.333 0.667 0.764
Sn5 0.667 0.333 0.236
Sn6 0.667 0.333 0.430

Calculated values
Density of states at the Fermi level: 7.49 states/eV/cell
Calculated density: 8.63 g cm⁻³
Formation enthalpy at 0 K: 0.0919 eV/atom

---

(9)
DFT (PBE) results for a geometry-optimized LaZr2AgBr structure.

abc: 5.091 5.091 5.221
angles: 90.00 90.00 90.00
Atoms (fractional coordinates):
La1 0.000 0.000 0.000
Zr1 0.000 0.500 0.500
Zr2 0.500 0.000 0.500
Ag1 0.500 0.500 0.000
Br1 0.500 0.500 0.500

Calculated values
Density of states at the Fermi level: 4.87 states/eV/cell
Calculated density: 6.25 g cm⁻³
Formation energy without anion corrections: 0.3412 eV/atom

---

(10)
DFT (PBE) results for a geometry-optimized TaIn3F structure.

abc: 5.510 5.510 5.510
angles: 90.00 90.00 90.00
Atoms (fractional coordinates):
Ta1 0.000 0.000 0.000
In1 0.000 0.000 0.500
In2 0.000 0.500 0.000
In3 0.500 0.000 0.000
F1 0.500 0.500 0.500

Calculated values
Density of states at the Fermi level: 5.09 states/eV/cell
Calculated density: 5.41 g cm⁻³
Formation energy without anion corrections: 0.4320 eV/atom

---

(11)
DFT (PBE) results for a geometry-optimized HS2ICl structure.

abc: 5.111 5.111 5.503
angles: 90.00 90.00 90.00
Atoms (fractional coordinates):
H1 0.000 0.000 0.000
S1 0.000 0.500 0.500
S2 0.500 0.000 0.500
I1 0.500 0.500 0.500
Cl1 0.500 0.500 0.000

Calculated values
E_tot: -1.93 eV per atom
Density of states at the Fermi level: 3.02 states/eV/cell
Calculated density: 2.63 g cm⁻³

---

(12)
DFT (PBE) results for a geometry-optimized BaLaP2 structure.

abc: 3.895 4.017 15.742
angles: 90.00 90.00 90.00
Atoms (fractional coordinates):
Ba1 0.000 0.000 0.000
Ba2 0.500 0.500 0.500
La1 0.000 0.500 0.754
La2 0.500 0.000 0.254
P1 0.000 0.000 0.610
P2 0.000 0.500 0.328
P3 0.500 0.000 0.828
P4 0.500 0.500 0.110

Calculated values
Density of states at the Fermi level: 10.92 states/eV/cell
Calculated density: 4.56 g cm⁻³
Formation enthalpy at 0 K: -0.9165 eV/atom